No. 1
V2HS (PBE, optimized geometry); E above lowest polymorph = 1.41 eV/f.u.
1.0
-0.634 -1.846 -4.185
4.473 0.635 -0.958
2.879 -4.795 -0.869
H S V
2 2 4
direct
0.500 0.500 0.000 H
0.250 0.750 0.500 H
0.000 0.000 0.000 S
0.750 0.250 0.500 S
0.540 0.125 0.250 V
0.210 0.625 0.250 V
0.375 0.460 0.750 V
0.875 0.790 0.750 V

No. 2
V3HS (PBE, optimized geometry); E above lowest polymorph = 0.00 eV/f.u.
1.0
-2.702 -1.968 -1.693
2.516 -2.588 -1.007
-0.640 -1.862 3.188
H S V
1 1 3
direct
0.000 0.000 0.000 H
0.500 0.500 0.500 S
0.000 0.500 0.000 V
0.000 0.000 0.500 V
0.500 0.000 0.000 V

No. 3
V4H2S (PBE, optimized geometry); electronic total energy = -0.48238 Ry/atom
1.0
4.192 0.000 0.000
0.000 4.192 0.000
2.096 2.096 4.582
H S V
2 1 4
direct
0.431 0.431 0.138 H
0.569 0.569 0.862 H
0.000 0.000 0.000 S
0.246 0.246 0.507 V
0.754 0.754 0.493 V
0.000 0.500 0.000 V
0.500 0.000 0.000 V